No. 1
Here is an optimized crystal structure of Al2CrCu from Alexandria. Energies are from GGA-PBE.

Lattice parameters (Å, degrees): 4.4605 4.4605 4.8586 100.76 100.76 34.65
Closest atoms and distances in Å follow each position.
Sites, in units of the cell vectors:
1 Al 0.2463 0.2463 0.2548  3 Cu 2.58-2.69, 3 Cr 2.61-2.62, 6 Al 2.66-2.82
2 Al 0.7537 0.7537 0.7452  3 Cu 2.58-2.69, 3 Cr 2.61-2.62, 6 Al 2.66-2.82
3 Cr 0.0000 0.0000 0.5000  6 Al 2.61-2.62, 2 Cr 2.66, 4 Cu 2.77
4 Cu 0.5000 0.5000 0.0000  6 Al 2.58-2.69, 2 Cu 2.66, 4 Cr 2.77

Calculated values
V = 13.47 A^3/atom
DOS at the Fermi energy = 0.61 states/eV per atom
Final energy = -5.27 eV/atom
Magnetization = 0.13 μB/f.u.

No. 2
Here is an optimized crystal structure of Al2CrCu from Alexandria. Energies are from GGA-PBE.

Lattice parameters (Å, degrees): 4.9917 4.9917 4.9917 142.81 132.71 61.64
Closest atoms and distances in Å follow each position.
Sites, in units of the cell vectors:
1 Al 0.0000 0.0000 0.0000  4 Cr 2.56, 2 Cu 2.58, 4 Al 2.78-2.84
2 Al 0.7345 0.2345 0.5000  4 Cu 2.56, 2 Cr 2.67, 4 Al 2.78-2.84
3 Cr 0.4842 0.4842 0.0000  6 Al 2.56-2.67, 2 Cu 2.65
4 Cu 0.2372 0.7372 0.5000  6 Al 2.56-2.58, 2 Cr 2.65

Calculated values
V = 13.66 A^3/atom
DOS at the Fermi energy = 0.52 states/eV per atom
Final energy = -5.39 eV/atom
Magnetization = 2.15 μB/f.u.

No. 3
Here is an optimized crystal structure of AlCrCu2 from Alexandria. Energies are from GGA-PBE.

Lattice parameters (Å, degrees): 2.6238 2.6238 7.2685 90.00 90.00 90.00
Closest atoms and distances in Å follow each position.
Sites, in units of the cell vectors:
1 Al 0.0000 0.0000 0.0000  4 Cu 2.61, 4 Al 2.62, 4 Cr 2.63
2 Cr 0.5000 0.5000 0.2572  4 Cu 2.57, 4 Cr 2.62, 4 Al 2.63
3 Cu 0.0000 0.0000 0.5018  4 Cr 2.57, 8 Cu 2.58-2.62
4 Cu 0.5000 0.5000 0.7479  8 Cu 2.58-2.62, 4 Al 2.61

Calculated values
V = 12.51 A^3/atom
DOS at the Fermi energy = 0.75 states/eV per atom
Final energy = -5.35 eV/atom
Magnetization = 0.00 μB/f.u.

No. 4
Here is an optimized crystal structure of AlCrCu2 from Alexandria. Energies are from GGA-PBE.

Lattice parameters (Å, degrees): 4.8535 4.8535 4.8535 142.00 129.60 64.82
Closest atoms and distances in Å follow each position.
Sites, in units of the cell vectors:
1 Al 0.0000 0.0000 0.0000  6 Cu 2.53-2.61, 2 Cr 2.67
2 Cr 0.7372 0.2372 0.5000  8 Cu 2.60-2.87, 4 Al 2.67-2.84
3 Cu 0.2411 0.7411 0.5000  2 Cu 2.52, 2 Al 2.53, 4 Cr 2.60
4 Cu 0.4803 0.4803 0.0000  2 Cu 2.52, 4 Al 2.61, 2 Cr 2.63

Calculated values
V = 13.38 A^3/atom
DOS at the Fermi energy = 0.62 states/eV per atom
Final energy = -5.33 eV/atom
Magnetization = 3.40 μB/f.u.

No. 5
Here is an optimized crystal structure of AlCr3Cu from Alexandria. Energies are from GGA-PBE.

Lattice parameters (Å, degrees): 4.5738 4.5738 4.5738 90.00 90.00 90.00
Closest atoms and distances in Å follow each position.
Sites, in units of the cell vectors:
1 Al 0.0000 0.0000 0.0000  12 Cr 3.23
2 Cr 0.0000 0.5000 0.5000  2 Cu 2.29
3 Cr 0.5000 0.0000 0.5000  2 Cu 2.29
4 Cr 0.5000 0.5000 0.0000  2 Cu 2.29
5 Cu 0.5000 0.5000 0.5000  6 Cr 2.29

Calculated values
V = 19.14 A^3/atom
DOS at the Fermi energy = 1.15 states/eV per atom
Final energy = -6.11 eV/atom
Magnetization = 11.37 μB/f.u.
Excess energy over the best structure of this formula in the dataset = 0.000 eV per atom

No. 6
Here is an optimized crystal structure of AlCrCu2 from Alexandria. Energies are from GGA-PBE.

Lattice parameters (Å, degrees): 2.9780 3.0647 5.6956 90.00 90.00 90.00
Closest atoms and distances in Å follow each position.
Sites, in units of the cell vectors:
1 Al 0.0000 0.0000 0.0000  5 Cu 2.57-2.78, 4 Cr 2.60
2 Cr 0.5000 0.5000 0.7396  5 Cu 2.57-2.78, 4 Al 2.60
3 Cu 0.0000 0.0000 0.4879  4 Cu 2.52, 4 Cr 2.57, 1 Al 2.78
4 Cu 0.5000 0.5000 0.2516  4 Cu 2.52, 4 Al 2.57, 1 Cr 2.78

Calculated values
V = 13.00 A^3/atom
DOS at the Fermi energy = 0.53 states/eV per atom
Final energy = -5.34 eV/atom
Magnetization = 2.65 μB/f.u.

No. 7
Here is an optimized crystal structure of AlCrCu2 from Alexandria. Energies are from GGA-PBE.

Lattice parameters (Å, degrees): 4.3687 4.3687 4.3687 126.10 126.10 79.73
Closest atoms and distances in Å follow each position.
Sites, in units of the cell vectors:
1 Al 0.0000 0.0000 0.0000  8 Cu 2.59-2.80, 4 Cr 2.59
2 Cr 0.2500 0.7500 0.5000  8 Cu 2.59-2.80, 4 Al 2.59
3 Cu 0.5000 0.5000 0.0000  4 Cu 2.59, 4 Cr 2.59, 4 Al 2.80
4 Cu 0.7500 0.2500 0.5000  4 Cu 2.59, 4 Al 2.59, 4 Cr 2.80

Calculated values
V = 13.15 A^3/atom
DOS at the Fermi energy = 0.42 states/eV per atom
Final energy = -5.36 eV/atom
Magnetization = 3.08 μB/f.u.

No. 8
Here is an optimized crystal structure of Al2CrCu from Alexandria. Energies are from GGA-PBE.

Lattice parameters (Å, degrees): 2.6427 2.6427 7.7925 90.00 90.00 90.00
Closest atoms and distances in Å follow each position.
Sites, in units of the cell vectors:
1 Al 0.0000 0.0000 0.0000  4 Cu 2.62, 8 Al 2.64-2.90
2 Al 0.5000 0.5000 0.2848  8 Al 2.64-2.90, 4 Cr 2.65
3 Cr 0.0000 0.0000 0.5263  4 Cu 2.63, 4 Cr 2.64, 4 Al 2.65
4 Cu 0.5000 0.5000 0.7645  4 Al 2.62, 4 Cr 2.63, 4 Cu 2.64

Calculated values
V = 13.61 A^3/atom
DOS at the Fermi energy = 0.73 states/eV per atom
Final energy = -5.20 eV/atom
Magnetization = 0.00 μB/f.u.

No. 9
Here is an optimized crystal structure of Al2CrCu from Alexandria. Energies are from GGA-PBE.

Lattice parameters (Å, degrees): 3.2015 3.2015 5.4806 90.00 90.00 90.00
Closest atoms and distances in Å follow each position.
Sites, in units of the cell vectors:
1 Al 0.0000 0.0000 0.0000  4 Cu 2.57, 2 Cr 2.67-2.81, 4 Al 2.77
2 Al 0.5000 0.5000 0.2904  4 Cr 2.57, 2 Cu 2.68-2.80, 4 Al 2.77
3 Cr 0.0000 0.0000 0.5136  6 Al 2.57-2.81, 4 Cu 2.69
4 Cu 0.5000 0.5000 0.7799  6 Al 2.57-2.80, 4 Cr 2.69

Calculated values
V = 14.04 A^3/atom
DOS at the Fermi energy = 0.57 states/eV per atom
Final energy = -5.28 eV/atom
Magnetization = 2.43 μB/f.u.

No. 10
Here is an optimized crystal structure of Al2CrCu from Alexandria. Energies are from GGA-PBE.

Lattice parameters (Å, degrees): 5.5243 5.5243 5.5243 103.37 103.37 122.52
Closest atoms and distances in Å follow each position.
Sites, in units of the cell vectors:
1 Al 0.0991 0.6250 0.9741  2 Cu 2.39, 2 Cr 2.64, 2 Al 2.68
2 Al 0.3750 0.3491 0.4741  2 Cu 2.39, 2 Cr 2.64, 2 Al 2.68
3 Al 0.6509 0.1250 0.0259  2 Cu 2.39, 2 Cr 2.64, 2 Al 2.68
4 Al 0.8750 0.9009 0.5259  2 Cu 2.39, 2 Cr 2.64, 2 Al 2.68
5 Cr 0.2500 0.7500 0.5000  4 Al 2.64, 2 Cu 2.66
6 Cr 0.5000 0.5000 0.0000  4 Al 2.64, 2 Cu 2.66
7 Cu 0.0000 0.0000 0.0000  4 Al 2.39, 2 Cr 2.66
8 Cu 0.7500 0.2500 0.5000  4 Al 2.39, 2 Cr 2.66

Calculated values
V = 15.58 A^3/atom
DOS at the Fermi energy = 0.73 states/eV per atom
Final energy = -4.98 eV/atom
Magnetization = 2.76 μB/f.u.

No. 11
Here is an optimized crystal structure of AlCrCu2 from Alexandria. Energies are from GGA-PBE.

Lattice parameters (Å, degrees): 9.2539 9.2539 9.2539 157.50 157.50 32.03
Closest atoms and distances in Å follow each position.
Sites, in units of the cell vectors:
1 Al 0.0000 0.0000 0.0000  4 Cr 2.55, 4 Cu 2.56
2 Al 0.7500 0.2500 0.5000  4 Cr 2.55, 4 Cu 2.56
3 Cr 0.2500 0.7500 0.5000  4 Al 2.55, 4 Cu 2.57
4 Cr 0.5000 0.5000 0.0000  4 Al 2.55, 4 Cu 2.57
5 Cu 0.1194 0.6250 0.9944  4 Cu 2.52-2.58, 2 Al 2.56, 2 Cr 2.57
6 Cu 0.3750 0.3694 0.4944  4 Cu 2.52-2.58, 2 Al 2.56, 2 Cr 2.57
7 Cu 0.6306 0.1250 0.0056  4 Cu 2.52-2.58, 2 Al 2.56, 2 Cr 2.57
8 Cu 0.8750 0.8806 0.5056  4 Cu 2.52-2.58, 2 Al 2.56, 2 Cr 2.57

Calculated values
V = 14.50 A^3/atom
DOS at the Fermi energy = 0.62 states/eV per atom
Final energy = -5.00 eV/atom
Magnetization = 2.97 μB/f.u.

No. 12
Here is an optimized crystal structure of Al2CrCu from Alexandria. Energies are from GGA-PBE.

Lattice parameters (Å, degrees): 4.6340 4.6340 4.6340 132.03 132.03 70.18
Closest atoms and distances in Å follow each position.
Sites, in units of the cell vectors:
1 Al 0.2500 0.7500 0.5000  4 Al 2.66, 4 Cr 2.67, 4 Cu 2.67
2 Al 0.7500 0.2500 0.5000  4 Al 2.66, 4 Cr 2.67, 4 Cu 2.67
3 Cr 0.0000 0.0000 0.0000  4 Cu 2.66, 8 Al 2.67
4 Cu 0.5000 0.5000 0.0000  4 Cr 2.66, 8 Al 2.67

Calculated values
V = 13.45 A^3/atom
DOS at the Fermi energy = 1.09 states/eV per atom
Final energy = -5.29 eV/atom
Magnetization = 0.77 μB/f.u.

No. 13
Here is an optimized crystal structure of AlCrCu2 from Alexandria. Energies are from GGA-PBE.

Lattice parameters (Å, degrees): 4.9791 4.9791 2.5069 101.11 101.11 118.81
Closest atoms and distances in Å follow each position.
Sites, in units of the cell vectors:
1 Al 0.0000 0.0000 0.0000  2 Al 2.51, 2 Cr 2.53, 4 Cu 2.56
2 Cr 0.5000 0.5000 0.0000  2 Cr 2.51, 2 Al 2.53, 4 Cu 2.56
3 Cu 0.0000 0.5000 0.5000  4 Cu 2.51-2.53, 2 Cr 2.56, 2 Al 2.56
4 Cu 0.5000 0.0000 0.5000  4 Cu 2.51-2.53, 2 Cr 2.56, 2 Al 2.56

Calculated values
V = 12.60 A^3/atom
DOS at the Fermi energy = 0.79 states/eV per atom
Final energy = -5.29 eV/atom
Magnetization = 0.00 μB/f.u.

No. 14
Here is an optimized crystal structure of Al2CrCu from Alexandria. Energies are from GGA-PBE.

Lattice parameters (Å, degrees): 4.3259 4.3259 4.3259 60.00 60.00 60.00
Closest atoms and distances in Å follow each position.
Sites, in units of the cell vectors:
1 Al 0.0000 0.0000 0.0000  4 Cu 2.65, 4 Al 2.65
2 Al 0.2500 0.2500 0.2500  4 Cr 2.65, 4 Al 2.65
3 Cr 0.5000 0.5000 0.5000  4 Cu 2.65, 4 Al 2.65
4 Cu 0.7500 0.7500 0.7500  4 Cr 2.65, 4 Al 2.65

Calculated values
V = 14.31 A^3/atom
DOS at the Fermi energy = 0.49 states/eV per atom
Final energy = -5.25 eV/atom
Magnetization = 3.52 μB/f.u.

Quick rundown of energy of formation, same order as above: 35 -85 38 61 1234 51 26 96 21 321 394 10 103 48 meV/atom